DFT (PBE) results for a geometry-optimized PrSi2 structure.

Cell and atoms, written as POSCAR:
```
PrSi2
1.0
-0.476 1.398 5.292
-2.046 4.911 1.370
-4.972 0.357 2.310
Si Pr
4 2
Cartesian
-4.446 3.468 2.961
-4.684 4.167 5.607
-3.661 1.711 4.922
-2.198 3.988 4.452
0.000 0.000 0.000
-1.874 1.667 2.243
```

Properties
As for the electronic total energy: -0.2017 hartree per atom.

=====

DFT (PBE) results for a geometry-optimized TmHf4C2Se structure.

Cell and atoms, written as POSCAR:
```
TmHf4C2Se
1.0
3.371 0.000 0.000
-1.686 2.920 0.000
0.000 0.000 14.415
Hf C Tm Se
4 2 1 1
Cartesian
1.686 0.973 12.463
1.686 0.973 1.952
0.000 1.946 10.010
0.000 1.946 4.406
0.000 0.000 11.276
0.000 0.000 3.139
1.686 0.973 7.208
0.000 1.946 0.000
```

Properties
As for the electronic total energy: -0.3336 hartree per atom.